## KAsSeBr2 (GGA-PBE)

Data for an optimized crystal structure of KAsSeBr2.

The structure in extended XYZ format:
```
5
Lattice="5.581 0.000 0.000 0.000 5.581 0.000 0.000 0.000 4.996" Properties=species:S:1:pos:R:3 pbc="T T T"
K 0.000 0.000 0.000
As 2.791 2.791 2.498
Se 2.791 2.791 0.000
Br 0.000 2.791 2.498
Br 2.791 0.000 2.498
```

Polymorph energy (0 for the lowest one) (kcal/mol of atoms): 0.000
Energy (eV per cell): -15.74
DOS(E_F) (states/eV per atom): 0.271

***

## EuZrP2 (GGA-PBE)

Data for an optimized crystal structure of EuZrP2.

The structure in extended XYZ format:
```
4
Lattice="1.943 1.122 6.619 -1.943 1.122 6.619 0.000 -2.244 6.619" Properties=species:S:1:pos:R:3 pbc="T T T"
Eu 0.000 0.000 0.000
Zr 0.000 0.000 9.929
P 0.000 0.000 4.793
P 0.000 0.000 15.064
```

Energy (eV per cell): -34.99
Formation energy (eV/f.u.): -5.350
DOS(E_F) (states/eV per atom): 2.134

***

## Ac4ZnRu3 (GGA-PBE)

Data for an optimized crystal structure of Ac4ZnRu3.

The structure in extended XYZ format:
```
8
Lattice="4.526 0.000 0.000 0.000 4.541 0.000 0.000 0.000 11.163" Properties=species:S:1:pos:R:3 pbc="T T T"
Ac 0.000 0.000 0.000
Ac 0.000 2.271 5.350
Ac 2.263 0.000 3.117
Ac 2.263 2.271 8.526
Zn 2.263 2.271 0.834
Ru 0.000 0.000 7.433
Ru 0.000 2.271 2.140
Ru 2.263 0.000 6.481
```

Energy (eV per cell): -46.58
Formation energy (eV/f.u.): -1.045
DOS(E_F) (states/eV per atom): 0.926

***

## Pm6BiAs3Se2 (GGA-PBE)

Data for an optimized crystal structure of Pm6BiAs3Se2.

The structure in extended XYZ format:
```
12
Lattice="9.361 -2.140 0.000 9.361 2.140 0.000 -2.048 0.000 8.357" Properties=species:S:1:pos:R:3 pbc="T T T"
Pm -0.459 0.000 1.959
Pm 5.262 0.000 3.515
Pm 4.419 0.000 7.607
Pm 12.256 0.000 0.750
Pm 11.413 0.000 4.842
Pm 17.134 0.000 6.398
Bi 8.337 0.000 4.179
As 2.424 0.000 2.770
As 9.361 0.000 0.000
As 14.250 0.000 5.588
Se 1.444 0.000 6.988
Se 15.230 0.000 1.369
```

Energy (eV per cell): -71.99
DOS(E_F) (states/eV per atom): 0.360

***

## SrIn6Rh3 (GGA-PBE)

Data for an optimized crystal structure of SrIn6Rh3.

The structure in extended XYZ format:
```
20
Lattice="8.341 0.000 0.000 0.000 4.609 0.000 -2.081 0.000 11.579" Properties=species:S:1:pos:R:3 pbc="T T T"
Sr 0.897 1.152 2.873
Sr 5.363 3.457 8.706
In -1.348 1.152 10.688
In -0.095 3.457 5.944
In 0.196 3.457 9.250
In 2.145 1.152 5.970
In 3.468 1.152 0.628
In 3.580 3.457 2.676
In 2.680 1.152 8.903
In 2.792 3.457 10.951
In 4.115 3.457 5.610
In 6.064 1.152 2.330
In 6.355 1.152 5.636
In 7.609 3.457 0.892
Rh -0.038 1.152 7.645
Rh 2.015 3.457 0.409
Rh 2.226 3.457 7.529
Rh 4.034 1.152 4.051
Rh 4.245 1.152 11.171
Rh 6.298 3.457 3.934
```

Energy (eV per cell): -87.53
Formation energy (eV/f.u.): -3.601
DOS(E_F) (states/eV per atom): 0.478

***

## Na4Cd3Hg2 (GGA-PBE)

Data for an optimized crystal structure of Na4Cd3Hg2.

The structure in extended XYZ format:
```
9
Lattice="4.587 -2.582 0.000 4.587 2.582 0.000 -0.166 0.000 9.748" Properties=species:S:1:pos:R:3 pbc="T T T"
Na 0.023 0.000 1.619
Na 2.883 0.000 6.295
Na 6.126 0.000 3.454
Na 8.986 0.000 8.129
Cd -0.083 0.000 4.874
Cd 3.071 0.000 0.075
Cd 5.938 0.000 9.673
Hg 3.112 0.000 3.141
Hg 5.897 0.000 6.607
```

Energy (eV per cell): -10.04
Formation energy (eV/f.u.): -1.411
DOS(E_F) (states/eV per atom): 0.425

***

## Co2AgH2 (GGA-PBE)

Data for an optimized crystal structure of Co2AgH2.

The structure in extended XYZ format:
```
5
Lattice="-1.604 1.604 4.373 1.604 -1.604 4.373 1.604 1.604 -4.373" Properties=species:S:1:pos:R:3 pbc="T T T"
Co 0.000 0.000 1.577
Co 0.000 0.000 7.169
Ag 0.000 0.000 4.373
H 1.604 0.000 2.186
H 0.000 1.604 2.186
```

Polymorph energy (0 for the lowest one) (kcal/mol of atoms): 0.000
Energy (eV per cell): -22.76
DOS(E_F) (states/eV per atom): 0.705

***

## Tb2Pm2Dy4Y (GGA-PBE)

Data for an optimized crystal structure of Tb2Pm2Dy4Y.

The structure in extended XYZ format:
```
9
Lattice="9.361 -1.803 0.000 9.361 1.803 0.000 -4.163 0.000 8.636" Properties=species:S:1:pos:R:3 pbc="T T T"
Tb 2.078 0.000 1.415
Tb 12.481 0.000 7.220
Pm 4.166 0.000 4.324
Pm 10.393 0.000 4.312
Dy -0.005 0.000 7.214
Dy 8.316 0.000 1.423
Dy 6.243 0.000 7.213
Dy 14.564 0.000 1.422
Y -2.081 0.000 4.318
```

Energy (eV per cell): -43.64
Formation energy (eV/f.u.): -0.010
DOS(E_F) (states/eV per atom): 1.343